Material: TmAl4InCo
Method: DFT, PBE
State: optimized geometry

a = 4.258 Å, b = 4.258 Å, c = 6.932 Å
α = 90.00°, β = 90.00°, γ = 90.00°
Space group P4/mmm (No. 123)
Inequivalent atoms, fractional coordinates:
Tm 0.000 0.000 0.000
Al 0.000 0.500 0.315
In 0.500 0.500 0.000
Co 0.000 0.000 0.500

VASP energy	-4.592	eV per atom